1.
Here is a relaxed PuSi4Rh2 crystal from the Alexandria database. Energies are from GGA-PBE. Values from VASP.

Geometry as Quantum ESPRESSO input:
```
&SYSTEM
  ibrav = 0, nat = 7, ntyp = 3
/
ATOMIC_SPECIES
Si 28.09 Si.upf
Rh 102.91 Rh.upf
Pu 244.00 Pu.upf
CELL_PARAMETERS angstrom
4.9774 0.0006 2.4576
2.4839 4.9557 1.2398
0.2853 -0.0015 5.6950
ATOMIC_POSITIONS crystal
Si 0.9993 0.2388 0.7623
Si 0.7607 0.2391 0.2377
Si 0.2393 0.7609 0.7623
Si 0.0007 0.7612 0.2377
Rh 0.2498 0.5005 0.5005
Rh 0.7502 0.4995 0.4995
Pu 0.5000 0.0000 0.0000
```

---

2.
! CeY6Er2Tm3 | the Alexandria database | GGA-PBE | optimized geometry; values from VASP
&SYSTEM
  ibrav = 0, nat = 12, ntyp = 4
/
ATOMIC_SPECIES
Y 88.91 Y.upf
Er 167.26 Er.upf
Ce 140.12 Ce.upf
Tm 168.93 Tm.upf
CELL_PARAMETERS angstrom
-1.2371 5.9586 -0.7675
-0.3266 -3.8369 -4.7745
-10.6162 -2.7127 4.2193
ATOMIC_POSITIONS crystal
Y 0.0838 0.4155 0.2506
Y 0.9162 0.5845 0.7494
Y 0.7519 0.7519 0.2508
Y 0.2481 0.2481 0.7492
Y 0.5845 0.9162 0.7494
Y 0.4155 0.0838 0.2506
Er 0.3334 0.6666 0.0000
Er 0.6666 0.3334 0.0000
Ce 0.0000 0.0000 0.0000
Tm 0.1674 0.8326 0.5000
Tm 0.8326 0.1674 0.5000
Tm 0.5000 0.5000 0.5000
! * formation enthalpy at 0 K: 44.4 meV per atom

---

3.
! Ce14ThAl | the Alexandria database | GGA-PBE | optimized geometry; values from VASP
&SYSTEM
  ibrav = 0, nat = 16, ntyp = 3
/
ATOMIC_SPECIES
Ce 140.12 Ce.upf
Al 26.98 Al.upf
Th 232.04 Th.upf
CELL_PARAMETERS angstrom
6.5979 0.8876 0.0000
-0.8830 6.5985 0.0000
0.0000 0.0000 9.4331
ATOMIC_POSITIONS crystal
Ce 0.6363 0.8860 0.7535
Ce 0.3743 0.6257 0.5000
Ce 0.8754 0.6247 0.5000
Ce 0.8753 0.6259 0.0000
Ce 0.1140 0.3637 0.2465
Ce 0.3741 0.1247 0.0000
Ce 0.8758 0.1242 0.5000
Ce 0.6363 0.8860 0.2465
Ce 0.1138 0.8862 0.2459
Ce 0.6361 0.3639 0.2471
Ce 0.6361 0.3639 0.7529
Ce 0.1140 0.3637 0.7535
Ce 0.3753 0.1246 0.5000
Ce 0.1138 0.8862 0.7541
Al 0.8741 0.1259 0.0000
Th 0.3754 0.6246 0.0000
! * formation enthalpy at 0 K: -21.8 meV per atom

---

Density of states at the Fermi level, record by record: 2.107 1.740 2.718 states/eV/atom
Total DFT energy (no corrections), record by record: -7.659 -5.561 -5.912 eV per atom